PBE-GGA HfSi4Ni6, relaxed; ΔE_f (raw) = -0.652 eV/atom; E = -6.68 eV/atom; total magnetic moment = 0.00 μB/f.u.
1.0
6.5855 0.0000 0.0000
-3.2928 5.7032 0.0000
0.0000 0.0000 3.5982
Hf Si Ni
1 4 6
direct
0.0000 0.0000 0.0000
0.3333 0.6667 0.0000
0.3843 0.1921 0.5000
0.8079 0.1921 0.5000
0.8079 0.6157 0.5000
0.2011 0.4023 0.5000
0.2011 0.7989 0.5000
0.5348 0.0697 0.0000
0.5348 0.4652 0.0000
0.5977 0.7989 0.5000
0.9303 0.4652 0.0000

PBE-GGA Na3GaAu, relaxed; ΔE to the lowest computed polymorph = 4 meV per atom; calculated formation energy = -0.8 eV per formula unit; E = -2.21 eV/atom; total magnetic moment = 0.00 μB/f.u.
1.0
5.4934 -4.5713 0.0000
5.4934 4.5713 0.0000
-4.6319 0.0000 5.6386
Na Ga Au
6 2 2
direct
0.0522 0.0522 0.3346
0.0977 0.4792 0.2515
0.4792 0.0977 0.2515
0.5208 0.9023 0.7485
0.9023 0.5208 0.7485
0.9478 0.9478 0.6654
0.4254 0.4254 0.7140
0.5746 0.5746 0.2860
0.2888 0.2888 0.8993
0.7112 0.7112 0.1007

PBE-GGA AcPm2Ho7, relaxed; ΔE to the lowest computed polymorph = 0 meV per atom; calculated formation energy = 3.2 eV per formula unit; E = -4.25 eV/atom; total magnetic moment = 0.00 μB/f.u.
1.0
-1.8368 5.7697 8.5295
1.8368 -5.7697 8.5295
1.8368 5.7697 -8.5295
Ac Pm Ho
1 2 7
direct
0.0000 0.0000 0.0000
0.1825 0.6825 0.5000
0.8175 0.3175 0.5000
0.0942 0.8406 0.2536
0.3401 0.3401 0.0000
0.4129 0.1594 0.2536
0.5000 0.0000 0.5000
0.5871 0.8406 0.7464
0.6599 0.6599 0.0000
0.9058 0.1594 0.7464

PBE-GGA AcZn2PIr2, relaxed; calculated formation energy = -2.2 eV per formula unit; E = -5.33 eV/atom; total magnetic moment = 0.00 μB/f.u.
1.0
4.5249 0.0000 0.0000
0.0000 4.5249 0.0000
0.0000 0.0000 5.8612
Ac Zn P Ir
1 2 1 2
direct
0.0000 0.0000 0.0000
0.5000 0.5000 0.2350
0.5000 0.5000 0.7650
0.0000 0.0000 0.5000
0.0000 0.5000 0.5000
0.5000 0.0000 0.5000